[1]
## Pm12Dy3Er (PBE)

Data for Pm12Dy3Er after structural relaxation.

The structure in POSCAR format:
```
Pm12Dy3Er
1.0
5.122 0.000 0.000
0.000 5.122 0.000
0.000 0.000 20.434
Pm Dy Er
12 3 1
Direct
0.000 0.000 0.000
0.000 0.000 0.249
0.000 0.000 0.500
0.000 0.000 0.751
0.000 0.500 0.124
0.000 0.500 0.375
0.000 0.500 0.625
0.000 0.500 0.876
0.500 0.000 0.124
0.500 0.000 0.375
0.500 0.000 0.625
0.500 0.000 0.876
0.500 0.500 0.249
0.500 0.500 0.500
0.500 0.500 0.751
0.500 0.500 0.000
```

## Properties
DOS at the Fermi energy: 23.9 states/eV per cell
ΔE_f: 0.015 eV/atom
Crystal system: tetragonal
Size of the total moment: 0.0 μB per formula unit
Volume: 536.0 Å³/f.u.


[2]
## Pm3Dy8Er (PBE)

Data for Pm3Dy8Er after structural relaxation.

The structure in POSCAR format:
```
Pm3Dy8Er
1.0
-3.229 5.638 5.715
3.229 -5.638 5.715
3.229 5.638 -5.715
Pm Dy Er
3 8 1
Direct
0.000 0.000 0.000
0.254 0.754 0.500
0.746 0.246 0.500
0.083 0.251 0.833
0.256 0.247 0.503
0.256 0.753 0.009
0.418 0.251 0.167
0.582 0.749 0.833
0.744 0.247 0.991
0.744 0.753 0.497
0.917 0.749 0.167
0.500 0.500 0.000
```

## Properties
DOS at the Fermi energy: 15.3 states/eV per cell
ΔE_f: 0.300 eV/atom
Crystal system: orthorhombic
Size of the total moment: 0.0 μB per formula unit
Volume: 416.1 Å³/f.u.


[3]
## Pm2DyEr8 (PBE)

Data for Pm2DyEr8 after structural relaxation.

The structure in POSCAR format:
```
Pm2DyEr8
1.0
4.499 -7.979 0.000
4.499 7.979 0.000
-3.200 0.000 4.899
Pm Dy Er
2 1 8
Direct
0.193 0.807 0.000
0.807 0.193 0.000
0.500 0.500 0.500
0.070 0.070 0.296
0.169 0.402 0.826
0.293 0.707 0.500
0.402 0.169 0.826
0.598 0.831 0.174
0.707 0.293 0.500
0.831 0.598 0.174
0.930 0.930 0.704
```

## Properties
DOS at the Fermi energy: 14.9 states/eV per cell
ΔE_f: 0.161 eV/atom
Crystal system: monoclinic
Size of the total moment: 0.0 μB per formula unit
Polymorph energy (0 for the lowest one): 44 meV per atom
Volume: 351.7 Å³/f.u.